# PmPIrF (GGA-PBE, relaxed)
# Total magnetic moment ... 0.00 μB/atom
# Raw formation energy ... -2.01 eV/atom
# Volume ... 131 Å³/cell
# N(E_F) ... 1.16 states/eV/f.u.
data_PmPIrF
_cell_length_a 3.936
_cell_length_b 3.936
_cell_length_c 8.443
_cell_angle_alpha 90.00
_cell_angle_beta 90.00
_cell_angle_gamma 90.00
_symmetry_space_group_name_H-M 'P 4/n m m'
_symmetry_Int_Tables_number 129
loop_
_symmetry_equiv_pos_as_xyz
'x,y,z'
'-x,-y,-z'
'-y+1/2,x,z'
'y+1/2,-x,-z'
'-x+1/2,-y+1/2,z'
'x+1/2,y+1/2,-z'
'y,-x+1/2,z'
'-y,x+1/2,-z'
'x+1/2,-y,-z'
'-x+1/2,y,z'
'-y,-x,-z'
'y,x,z'
'-x,y+1/2,-z'
'x,-y+1/2,z'
'y+1/2,x+1/2,-z'
'-y+1/2,-x+1/2,z'
loop_
_atom_site_label
_atom_site_type_symbol
_atom_site_fract_x
_atom_site_fract_y
_atom_site_fract_z
Pm1 Pm 0.250 0.250 0.190
P1 P 0.250 0.250 0.664
Ir1 Ir 0.250 0.750 0.500
F1 F 0.250 0.750 0.000

# Ca3NbC (GGA-PBE, relaxed)
# Total magnetic moment ... 0.20 μB/atom
# ΔH_f (0 K) ... 10.43 eV per formula unit
# Volume ... 167 Å³/cell
# ΔE to the lowest computed polymorph ... 621 kJ/mol of formula units
# N(E_F) ... 5.12 states/eV/f.u.
data_Ca3NbC
_cell_length_a 5.511
_cell_length_b 5.511
_cell_length_c 5.511
_cell_angle_alpha 90.00
_cell_angle_beta 90.00
_cell_angle_gamma 90.00
_symmetry_space_group_name_H-M 'P m -3 m'
_symmetry_Int_Tables_number 221
_symmetry_space_group_name_Hall '-P 4 2 3'
loop_
_atom_site_label
_atom_site_type_symbol
_atom_site_fract_x
_atom_site_fract_y
_atom_site_fract_z
Ca1 Ca 0.000 0.000 0.500
Nb1 Nb 0.000 0.000 0.000
C1 C 0.500 0.500 0.500

# Th5InHg4 (GGA-PBE, relaxed)
# Total magnetic moment ... 0.00 μB/atom
# ΔH_f (0 K) ... -2.39 eV per formula unit
# Volume ... 275 Å³/cell
# N(E_F) ... 11.35 states/eV/f.u.
data_Th5InHg4
_cell_length_a 3.455
_cell_length_b 3.455
_cell_length_c 23.059
_cell_angle_alpha 90.00
_cell_angle_beta 90.00
_cell_angle_gamma 90.00
_symmetry_space_group_name_H-M 'P 4/m m m'
_symmetry_Int_Tables_number 123
_symmetry_space_group_name_Hall '-P 4 2'
loop_
_atom_site_label
_atom_site_type_symbol
_atom_site_fract_x
_atom_site_fract_y
_atom_site_fract_z
Th1 Th 0.000 0.000 0.000
Th2 Th 0.000 0.000 0.199
Th3 Th 0.000 0.000 0.399
In1 In 0.500 0.500 0.500
Hg1 Hg 0.500 0.500 0.100
Hg2 Hg 0.500 0.500 0.299

# La4TlTeO (GGA-PBE, relaxed)
# Total magnetic moment ... 0.00 μB/atom
# Raw formation energy ... -1.34 eV/atom
# Volume ... 819 Å³/cell
# N(E_F) ... 8.34 states/eV/f.u.
data_La4TlTeO
_cell_length_a 6.916
_cell_length_b 17.242
_cell_length_c 6.870
_cell_angle_alpha 90.00
_cell_angle_beta 90.00
_cell_angle_gamma 90.00
_symmetry_space_group_name_H-M 'C m c m'
_symmetry_Int_Tables_number 63
_symmetry_space_group_name_Hall '-C 2c 2'
loop_
_atom_site_label
_atom_site_type_symbol
_atom_site_fract_x
_atom_site_fract_y
_atom_site_fract_z
La1 La 0.000 0.080 0.250
La2 La 0.000 0.419 0.250
La3 La 0.250 0.250 0.000
Tl1 Tl 0.000 0.108 0.750
Te1 Te 0.000 0.389 0.750
O1 O 0.000 0.254 0.250

# Rb2CaCd2 (GGA-PBE, relaxed)
# Total magnetic moment ... 0.00 μB/atom
# ΔH_f (0 K) ... 0.70 eV per formula unit
# Volume ... 436 Å³/cell
# ΔE to the lowest computed polymorph ... 68 kJ/mol of formula units
# N(E_F) ... 4.20 states/eV/f.u.
data_Rb2CaCd2
_cell_length_a 5.155
_cell_length_b 5.155
_cell_length_c 16.413
_cell_angle_alpha 90.00
_cell_angle_beta 90.00
_cell_angle_gamma 90.00
_symmetry_space_group_name_H-M 'I 4/m m m'
_symmetry_Int_Tables_number 139
_symmetry_space_group_name_Hall '-I 4 2'
loop_
_atom_site_label
_atom_site_type_symbol
_atom_site_fract_x
_atom_site_fract_y
_atom_site_fract_z
Rb1 Rb 0.000 0.500 0.250
Ca1 Ca 0.000 0.000 0.000
Cd1 Cd 0.000 0.000 0.414

# Cs9AlO4 (GGA-PBE, relaxed)
# Total magnetic moment ... 0.00 μB/atom
# Raw formation energy ... -1.20 eV/atom
# Volume ... 3082 Å³/cell
# N(E_F) ... 6.73 states/eV/f.u.
data_Cs9AlO4
_cell_length_a 15.603
_cell_length_b 15.603
_cell_length_c 12.658
_cell_angle_alpha 90.00
_cell_angle_beta 90.00
_cell_angle_gamma 90.00
_symmetry_space_group_name_H-M 'I 4/m c m'
_symmetry_Int_Tables_number 140
_symmetry_space_group_name_Hall '-I 4 2c'
loop_
_atom_site_label
_atom_site_type_symbol
_atom_site_fract_x
_atom_site_fract_y
_atom_site_fract_z
Cs1 Cs 0.000 0.000 0.000
Cs2 Cs 0.000 0.275 0.250
Cs3 Cs 0.081 0.419 0.000
Cs4 Cs 0.162 0.338 0.500
Al1 Al 0.000 0.500 0.250
O1 O 0.067 0.433 0.335

# Nd6TlCd (GGA-PBE, relaxed)
# Total magnetic moment ... 0.00 μB/atom
# ΔH_f (0 K) ... -1.25 eV per formula unit
# Volume ... 248 Å³/cell
# N(E_F) ... 12.52 states/eV/f.u.
data_Nd6TlCd
_cell_length_a 4.994
_cell_length_b 4.994
_cell_length_c 9.953
_cell_angle_alpha 90.00
_cell_angle_beta 90.00
_cell_angle_gamma 90.00
_symmetry_space_group_name_H-M 'P 4/m m m'
_symmetry_Int_Tables_number 123
_symmetry_space_group_name_Hall '-P 4 2'
loop_
_atom_site_label
_atom_site_type_symbol
_atom_site_fract_x
_atom_site_fract_y
_atom_site_fract_z
Nd1 Nd 0.000 0.000 0.000
Nd2 Nd 0.000 0.000 0.500
Nd3 Nd 0.000 0.500 0.250
Tl1 Tl 0.500 0.500 0.000
Cd1 Cd 0.500 0.500 0.500

# BPt (GGA-PBE, relaxed)
# Total magnetic moment ... 0.00 μB/atom
# ΔH_f (0 K) ... 0.23 eV per formula unit
# Volume ... 193 Å³/cell
# N(E_F) ... 0.50 states/eV/f.u.
data_BPt
_cell_length_a 8.2205
_cell_length_b 8.2205
_cell_length_c 3.2895
_cell_angle_alpha 90.00
_cell_angle_beta 90.00
_cell_angle_gamma 120.00
_symmetry_space_group_name_H-M 'P 63/m'
_symmetry_Int_Tables_number 176
_symmetry_space_group_name_Hall '-P 6c'
loop_
_atom_site_label
_atom_site_type_symbol
_atom_site_fract_x
_atom_site_fract_y
_atom_site_fract_z
B1 B 0.0524 0.3550 0.2500
Pt1 Pt 0.1061 0.6689 0.2500

# Pm3Mg2Ge3 (GGA-PBE, relaxed)
# Total magnetic moment ... 0.00 μB/atom
# ΔH_f (0 K) ... -4.90 eV per formula unit
# Volume ... 398 Å³/cell
# ΔE to the lowest computed polymorph ... 0 kJ/mol of formula units
# N(E_F) ... 3.23 states/eV/f.u.
data_Pm3Mg2Ge3
_cell_length_a 8.6106
_cell_length_b 8.6106
_cell_length_c 6.1943
_cell_angle_alpha 90.00
_cell_angle_beta 90.00
_cell_angle_gamma 120.00
_symmetry_space_group_name_H-M 'P 63/m c m'
_symmetry_Int_Tables_number 193
_symmetry_space_group_name_Hall '-P 6c 2'
loop_
_atom_site_label
_atom_site_type_symbol
_atom_site_fract_x
_atom_site_fract_y
_atom_site_fract_z
Pm1 Pm 0.0000 0.2833 0.2500
Mg1 Mg 0.3333 0.6667 0.0000
Ge1 Ge 0.0000 0.3729 0.7500

# SbPb3Au6 (GGA-PBE, relaxed)
# Total magnetic moment ... 0.00 μB/atom
# Raw formation energy ... -0.01 eV/atom
# Volume ... 927 Å³/cell
# N(E_F) ... 3.53 states/eV/f.u.
data_SbPb3Au6
_cell_length_a 7.312
_cell_length_b 15.815
_cell_length_c 8.018
_cell_angle_alpha 90.00
_cell_angle_beta 90.00
_cell_angle_gamma 90.00
_symmetry_space_group_name_H-M 'C m c 21'
_symmetry_Int_Tables_number 36
loop_
_symmetry_equiv_pos_as_xyz
'x,y,z'
'-x,-y,z+1/2'
'-x,y,z'
'x,-y,z+1/2'
'x+1/2,y+1/2,z'
'-x+1/2,-y+1/2,z+1/2'
'-x+1/2,y+1/2,z'
'x+1/2,-y+1/2,z+1/2'
loop_
_atom_site_label
_atom_site_type_symbol
_atom_site_fract_x
_atom_site_fract_y
_atom_site_fract_z
Sb1 Sb 0.000 0.233 0.000
Pb1 Pb 0.000 0.450 0.153
Pb2 Pb 0.234 0.118 0.306
Au1 Au 0.000 0.044 0.613
Au2 Au 0.000 0.304 0.430
Au3 Au 0.195 0.202 0.668
Au4 Au 0.207 0.073 0.928

# Sr2RuW (GGA-PBE, relaxed)
# Total magnetic moment ... 0.93 μB/atom
# ΔH_f (0 K) ... 5.65 eV per formula unit
# Volume ... 411 Å³/cell
# ΔE to the lowest computed polymorph ... 414 kJ/mol of formula units
# N(E_F) ... 3.66 states/eV/f.u.
data_Sr2RuW
_cell_length_a 7.433
_cell_length_b 7.433
_cell_length_c 7.433
_cell_angle_alpha 90.00
_cell_angle_beta 90.00
_cell_angle_gamma 90.00
_symmetry_space_group_name_H-M 'F m -3 m'
_symmetry_Int_Tables_number 225
_symmetry_space_group_name_Hall '-F 4 2 3'
loop_
_atom_site_label
_atom_site_type_symbol
_atom_site_fract_x
_atom_site_fract_y
_atom_site_fract_z
Sr1 Sr 0.250 0.250 0.250
Ru1 Ru 0.000 0.000 0.000
W1 W 0.000 0.000 0.500

# Er4Hg2B (GGA-PBE, relaxed)
# Total magnetic moment ... 0.00 μB/atom
# ΔH_f (0 K) ... -1.43 eV per formula unit
# Volume ... 364 Å³/cell
# N(E_F) ... 11.75 states/eV/f.u.
data_Er4Hg2B
_cell_length_a 4.938
_cell_length_b 4.938
_cell_length_c 14.930
_cell_angle_alpha 90.00
_cell_angle_beta 90.00
_cell_angle_gamma 90.00
_symmetry_space_group_name_H-M 'I 4/m m m'
_symmetry_Int_Tables_number 139
_symmetry_space_group_name_Hall '-I 4 2'
loop_
_atom_site_label
_atom_site_type_symbol
_atom_site_fract_x
_atom_site_fract_y
_atom_site_fract_z
Er1 Er 0.000 0.000 0.172
Er2 Er 0.000 0.500 0.000
Hg1 Hg 0.000 0.000 0.370
B1 B 0.000 0.000 0.000

Number 1: final energy -28.93 eV per formula unit. Number 2: final energy -14.87 eV per formula unit. Number 3: final energy -43.43 eV per formula unit. Number 4: final energy -39.53 eV per formula unit. Number 5: final energy -5.06 eV per formula unit. Number 6: final energy -48.05 eV per formula unit. Number 7: final energy -33.14 eV per formula unit. Number 8: final energy -12.49 eV per formula unit. Number 9: final energy -36.19 eV per formula unit. Number 10: final energy -35.04 eV per formula unit. Number 11: final energy -19.95 eV per formula unit. Number 12: final energy -26.96 eV per formula unit.